# PBE ErZrPb2O6, optimized geometry
data_ErZrPb2O6
_cell_length_a 5.8457
_cell_length_b 6.0305
_cell_length_c 10.2519
_cell_angle_alpha 90.00
_cell_angle_beta 124.71
_cell_angle_gamma 90.00
_symmetry_space_group_name_H-M 'P 1 21/c 1'
_symmetry_Int_Tables_number 14
loop_
_symmetry_equiv_pos_as_xyz
'x,y,z'
'-x,-y,-z'
'-x,y+1/2,-z+1/2'
'x,-y+1/2,z+1/2'
loop_
_atom_site_label
_atom_site_fract_x
_atom_site_fract_y
_atom_site_fract_z
Er1 0.0000 0.0000 0.0000
Zr1 0.5000 0.0000 0.5000
Pb1 0.2409 0.0359 0.7493
O1 0.1479 0.1881 0.4481
O2 0.2624 0.7030 0.4457
O3 0.3640 0.0356 0.2575
# mass density: 8.6 Mg/m³
# formation energy without anion corrections: -221 kJ/mol of atoms